This record from the Alexandria database describes crystalline YErH2 at its relaxed geometry. The functional is PBE.

Cell: 3.6297 3.6297 17.5836 Å, 90.00 90.00 120.00°
Closest atoms and distances in Å follow each position.
Space group R-3m (No. 166, hexagonal axes)
Symmetry-distinct sites (fractional):
Y (0.0000, 0.0000, 0.0000)  6 H 2.22
Er (0.0000, 0.0000, 0.5000)  2 H 2.19
H (0.0000, 0.0000, 0.3752)  1 Er 2.19, 3 Y 2.22

Values from the calculation:
theoretical density = 6.411 g/cm³
energy = -59.425 eV/cell

This record from the Alexandria database describes crystalline Tm3Mg3In2 at its relaxed geometry. The functional is PBE.

Cell: 4.8914 4.9362 8.2377 Å, 90.00 90.00 90.00°
Closest atoms and distances in Å follow each position.
Space group Pmmm (No. 47)
Symmetry-distinct sites (fractional):
Tm (0.0000, 0.0000, 0.0000)  4 In 3.22, 4 Mg 3.27, 4 Tm 3.47
Tm (0.0000, 0.0000, 0.5000)  8 Mg 3.16-3.47, 4 In 3.18
Tm (0.5000, 0.5000, 0.0000)  4 In 3.24, 4 Mg 3.26, 4 Tm 3.47
Mg (0.0000, 0.5000, 0.2608)  2 Mg 3.14, 6 Tm 3.16-3.27, 4 In 3.48
Mg (0.5000, 0.5000, 0.5000)  4 Mg 3.14, 4 In 3.19, 4 Tm 3.47
In (0.5000, 0.0000, 0.2542)  6 Tm 3.18-3.24, 6 Mg 3.19-3.48

Values from the calculation:
theoretical density = 6.757 g/cm³
energy of formation from the pure elements = -0.252 eV/atom

This record from the Alexandria database describes crystalline La3PmY2S6 at its relaxed geometry. The functional is PBE.

Cell: 6.9939 12.1397 7.0639 Å, 90.00 109.36 90.00°
Closest atoms and distances in Å follow each position.
Space group C2/m (No. 12)
Symmetry-distinct sites (fractional):
La (0.0000, 0.0000, 0.0000)  6 S 2.90-2.94
La (0.0000, 0.3357, 0.0000)  6 S 2.91-2.94
Pm (0.0000, 0.5000, 0.5000)  6 S 2.84-2.85
Y (0.0000, 0.1667, 0.5000)  6 S 2.78-2.79
S (0.2377, 0.0000, 0.7328)  2 Y 2.78, 1 Pm 2.84, 3 La 2.90-2.93
S (0.2482, 0.3301, 0.7351)  2 Y 2.79, 1 Pm 2.85, 3 La 2.91-2.94

Values from the calculation:
E_form (uncorrected) = -2427 kJ/mol of formula units
theoretical density = 5.470 g/cm³

What is the theoretical density in the second record?
6.757 g/cm³